Record 1
Compound: CdCoAg2
Source: the Alexandria database
Functional: PBE-GGA
Structure: optimized geometry

Computed properties:
For the density, the calculation gives 9567 kg/m3. The total energy is -12.79 eV per cell. The magnetic moment is 1.5 Bohr magnetons per cell. For the formation energy, the calculation gives 234 meV per atom.

Structure (CIF):
```
data_CdCoAg2
_chemical_formula_sum 'Cd1 Co1 Ag2'
_space_group_name_H-M_alt 'P 1'
_space_group_IT_number 1
_cell_length_a 2.9044
_cell_length_b 2.9044
_cell_length_c 7.9644
_cell_angle_alpha 90.00
_cell_angle_beta 90.00
_cell_angle_gamma 90.00
loop_
_space_group_symop_operation_xyz
'x,y,z'
loop_
_atom_site_label
_atom_site_type_symbol
_atom_site_fract_x
_atom_site_fract_y
_atom_site_fract_z
Cd1 Cd 0.0000 0.0000 0.0000
Co1 Co 0.5000 0.5000 0.2346
Ag1 Ag 0.0000 0.0000 0.4578
Ag2 Ag 0.5000 0.5000 0.7224
```

=====

Record 2
Compound: LuHfPa2
Source: the Alexandria database
Functional: PBE-GGA
Structure: optimized geometry

Computed properties:
For the density, the calculation gives 13437 kg/m3. The total energy is -32.79 eV per cell. The magnetic moment is 0.0 Bohr magnetons per cell. For the formation energy, the calculation gives 168 meV per atom. As for the polymorph energy (0 for the lowest one): 0.000 eV/atom.

Structure (CIF):
```
data_LuHfPa2
_chemical_formula_sum 'Lu1 Hf1 Pa2'
_space_group_name_H-M_alt 'P 1'
_space_group_IT_number 1
_cell_length_a 3.1669
_cell_length_b 3.1669
_cell_length_c 10.0490
_cell_angle_alpha 90.00
_cell_angle_beta 90.00
_cell_angle_gamma 90.00
loop_
_space_group_symop_operation_xyz
'x,y,z'
loop_
_atom_site_label
_atom_site_type_symbol
_atom_site_fract_x
_atom_site_fract_y
_atom_site_fract_z
Lu1 Lu 0.0000 0.0000 0.0000
Hf1 Hf 0.0000 0.0000 0.5000
Pa1 Pa 0.5000 0.5000 0.2606
Pa2 Pa 0.5000 0.5000 0.7394
```

=====

Record 3
Compound: Mg4Tc
Source: the Alexandria database
Functional: PBE-GGA
Structure: optimized geometry

Computed properties:
For the density, the calculation gives 3333 kg/m3. The total energy is -15.92 eV per cell. The magnetic moment is 0.4 Bohr magnetons per cell. For the formation energy, the calculation gives 164 meV per atom. As for the polymorph energy (0 for the lowest one): 0.017 eV/atom.

Structure (CIF):
```
data_Mg4Tc
_chemical_formula_sum 'Mg4 Tc1'
_space_group_name_H-M_alt 'P 1'
_space_group_IT_number 1
_cell_length_a 5.7945
_cell_length_b 5.7945
_cell_length_c 5.7945
_cell_angle_alpha 94.17
_cell_angle_beta 94.17
_cell_angle_gamma 148.73
loop_
_space_group_symop_operation_xyz
'x,y,z'
loop_
_atom_site_label
_atom_site_type_symbol
_atom_site_fract_x
_atom_site_fract_y
_atom_site_fract_z
Mg1 Mg 0.0859 0.2773 0.3632
Mg2 Mg 0.2773 0.9141 0.1914
Mg3 Mg 0.7227 0.0859 0.8086
Mg4 Mg 0.9141 0.7227 0.6368
Tc1 Tc 0.5000 0.5000 0.0000
```

=====

Record 4
Compound: Pr2IrPb
Source: the Alexandria database
Functional: PBE-GGA
Structure: optimized geometry

Computed properties:
For the density, the calculation gives 9176 kg/m3. The total energy is -24.02 eV per cell. The magnetic moment is 0.0 Bohr magnetons per cell. For the formation energy, the calculation gives -473 meV per atom. As for the polymorph energy (0 for the lowest one): 0.086 eV/atom.

Structure (CIF):
```
data_Pr2IrPb
_chemical_formula_sum 'Pr2 Ir1 Pb1'
_space_group_name_H-M_alt 'P 1'
_space_group_IT_number 1
_cell_length_a 8.9856
_cell_length_b 8.9856
_cell_length_c 8.9856
_cell_angle_alpha 26.05
_cell_angle_beta 26.05
_cell_angle_gamma 26.05
loop_
_space_group_symop_operation_xyz
'x,y,z'
loop_
_atom_site_label
_atom_site_type_symbol
_atom_site_fract_x
_atom_site_fract_y
_atom_site_fract_z
Pr1 Pr 0.2311 0.2311 0.2311
Pr2 Pr 0.7689 0.7689 0.7689
Ir1 Ir 0.5000 0.5000 0.5000
Pb1 Pb 0.0000 0.0000 0.0000
```